Record 1
The following is a PBE calculation of a relaxed structure of Pm5PrGe3, from Alexandria.

Summary:
Its calculated formation energy is -0.53 eV per atom. The calculation puts the volume at 240 Å³/f.u. The total magnetization comes out at 4.421 Bohr magnetons per cell.

Cell lengths 9.1978, 9.1978, 6.5509 Å; angles 90.00, 90.00, 120.00 degrees
Last column: nearest neighbours and their distance in Å.
Sites, in units of the cell vectors:
Pm 0.0000 0.3333 0.2500  5 Ge 3.05-3.28
Pm 0.0000 0.6667 0.7500  5 Ge 3.05-3.28
Pm 0.3333 0.0000 0.2500  5 Ge 3.05-3.28
Pm 0.3333 0.3333 0.7500  5 Ge 3.05-3.28
Pm 0.3333 0.6667 0.0000  8 Pm 3.28-3.48, 6 Ge 3.47
Pm 0.3333 0.6667 0.5000  8 Pm 3.28-3.48, 6 Ge 3.47
Pm 0.6667 0.0000 0.7500  5 Ge 3.05-3.28
Pm 0.6667 0.3333 0.0000  8 Pm 3.28-3.48, 6 Ge 3.47
Pm 0.6667 0.3333 0.5000  8 Pm 3.28-3.48, 6 Ge 3.47
Pm 0.6667 0.6667 0.2500  5 Ge 3.05-3.28
Pr 0.0000 0.0000 0.0000  2 Pr 3.28, 6 Pm 3.48, 6 Ge 3.49
Pr 0.0000 0.0000 0.5000  2 Pr 3.28, 6 Pm 3.48, 6 Ge 3.49
Ge 0.0000 0.3351 0.7500  5 Pm 3.05-3.28
Ge 0.0000 0.6649 0.2500  5 Pm 3.05-3.28
Ge 0.3351 0.0000 0.7500  5 Pm 3.05-3.28
Ge 0.3351 0.3351 0.2500  5 Pm 3.05-3.28
Ge 0.6649 0.0000 0.2500  5 Pm 3.05-3.28
Ge 0.6649 0.6649 0.7500  5 Pm 3.05-3.28

---

Record 2
The following is a PBE calculation of a relaxed structure of LaLuCuRh, from Alexandria.

Summary:
Its calculated formation energy is -0.49 eV per atom. The calculation puts the volume at 86 Å³/f.u. The total magnetization comes out at 0.000 Bohr magnetons per cell.

Cell lengths 4.9618, 4.9618, 4.9618 Å; angles 60.00, 60.00, 60.00 degrees
Last column: nearest neighbours and their distance in Å.
Sites, in units of the cell vectors:
La 0.0000 0.0000 0.0000  4 Cu 3.04, 4 Rh 3.04
Lu 0.5000 0.5000 0.5000  4 Rh 3.04, 4 Cu 3.04
Cu 0.2500 0.2500 0.2500  4 Lu 3.04, 4 La 3.04
Rh 0.7500 0.7500 0.7500  4 Lu 3.04, 4 La 3.04

---

Record 3
The following is a PBE calculation of a relaxed structure of Dy2YTi, from Alexandria.

Summary:
Its polymorph energy (0 for the lowest one) is 266 meV/atom. Its calculated formation energy is 0.43 eV per atom. The calculation puts the volume at 115 Å³/f.u. The total magnetization comes out at 1.878 Bohr magnetons per cell.

Cell lengths 11.8754, 11.8754, 11.8754 Å; angles 16.28, 16.28, 16.28 degrees
Last column: nearest neighbours and their distance in Å.
Sites, in units of the cell vectors:
Dy 0.0836 0.0836 0.0836  1 Ti 2.94
Dy 0.9164 0.9164 0.9164  1 Ti 2.94
Y 0.5000 0.5000 0.5000  6 Y 3.36, 6 Dy 3.51
Ti 0.0000 0.0000 0.0000  2 Dy 2.94

---

Record 4
The following is a PBE calculation of a relaxed structure of Ce4TlPb, from Alexandria.

Summary:
Its polymorph energy (0 for the lowest one) is 0 meV/atom. Its calculated formation energy is -0.22 eV per atom. The calculation puts the volume at 165 Å³/f.u. The total magnetization comes out at 2.175 Bohr magnetons per cell.

Cell lengths 3.9827, 3.9827, 10.4285 Å; angles 94.05, 94.05, 89.73 degrees
Last column: nearest neighbours and their distance in Å.
Sites, in units of the cell vectors:
Ce 0.0329 0.0329 0.1803  1 Ce 2.70
Ce 0.4651 0.4651 0.3180  1 Ce 2.70
Ce 0.5349 0.5349 0.6820  1 Ce 2.70
Ce 0.9671 0.9671 0.8197  1 Ce 2.70
Tl 0.0000 0.0000 0.5000  10 Ce 3.36-3.40
Pb 0.5000 0.5000 0.0000  10 Ce 3.34-3.39

---

Record 5
The following is a PBE calculation of a relaxed structure of Rb2FeSe, from Alexandria.

Summary:
Its polymorph energy (0 for the lowest one) is 216 meV/atom. The calculation puts the volume at 166 Å³/f.u. Its formation energy (no corrections) is 0.576 eV/atom. The total magnetization comes out at 7.551 Bohr magnetons per cell.

Cell lengths 11.7264, 11.7264, 11.7264 Å; angles 153.03, 153.03, 38.51 degrees
Last column: nearest neighbours and their distance in Å.
Sites, in units of the cell vectors:
Rb 0.1091 0.6250 0.9841  2 Se 3.34, 2 Fe 3.41
Rb 0.3750 0.3591 0.4841  2 Se 3.34, 2 Fe 3.41
Rb 0.6409 0.1250 0.0159  2 Se 3.34, 2 Fe 3.41
Rb 0.8750 0.8909 0.5159  2 Se 3.34, 2 Fe 3.41
Fe 0.2500 0.7500 0.5000  4 Rb 3.41
Fe 0.5000 0.5000 0.0000  4 Rb 3.41
Se 0.0000 0.0000 0.0000  4 Rb 3.34
Se 0.7500 0.2500 0.5000  4 Rb 3.34

---

Record 6
The following is a PBE calculation of a relaxed structure of TiTe4Au3, from Alexandria.

Summary:
The calculation puts the volume at 252 Å³/f.u. Its formation energy (no corrections) is -0.313 eV/atom. The total magnetization comes out at 0.000 Bohr magnetons per cell.

Cell lengths 6.3139, 6.3139, 6.3139 Å; angles 90.00, 90.00, 90.00 degrees
Last column: nearest neighbours and their distance in Å.
Sites, in units of the cell vectors:
Ti 0.0000 0.0000 0.0000  4 Te 2.73
Te 0.2501 0.2501 0.2501  3 Au 2.73, 1 Ti 2.73
Te 0.2501 0.7499 0.7499  3 Au 2.73, 1 Ti 2.73
Te 0.7499 0.2501 0.7499  3 Au 2.73, 1 Ti 2.73
Te 0.7499 0.7499 0.2501  3 Au 2.73, 1 Ti 2.73
Au 0.0000 0.0000 0.5000  4 Te 2.73
Au 0.0000 0.5000 0.0000  4 Te 2.73
Au 0.5000 0.0000 0.0000  4 Te 2.73